First-principles (PBE) data for a relaxed structure of Nb2InPd6, as listed in Alexandria via LeMat-Bulk.

Results
Fermi-level density of states: 0.62 states/eV/atom
E_form: -0.2387 eV per atom
crystal system: monoclinic
total DFT energy (no corrections): -0.4588 Ry/atom

```
data_Nb2InPd6
_chemical_formula_sum 'Nb4 In2 Pd12'
_symmetry_space_group_name_H-M 'C 1 2/m 1'
_symmetry_Int_Tables_number 12
_symmetry_space_group_name_Hall '-C 2y'
_cell_length_a 14.198
_cell_length_b 7.735
_cell_length_c 2.847
_cell_angle_alpha 90.00
_cell_angle_beta 101.33
_cell_angle_gamma 90.00
loop_
_atom_site_label
_atom_site_fract_x
_atom_site_fract_y
_atom_site_fract_z
_atom_site_occupancy
Nb1 0.165 0.000 0.177 1
In1 0.000 0.500 0.500 1
Pd1 0.000 0.183 0.000 1
Pd2 0.169 0.313 0.674 1
```


First-principles (PBE) data for a relaxed structure of NbIn2Pd, as listed in Alexandria via LeMat-Bulk.

Results
Fermi-level density of states: 0.92 states/eV/atom
relative energy among the computed polymorphs: 0.0538 eV per atom
E_form: -0.1502 eV per atom
crystal system: tetragonal
total DFT energy (no corrections): -0.3921 Ry/atom

```
data_NbIn2Pd
_chemical_formula_sum 'Nb1 In2 Pd1'
_symmetry_space_group_name_H-M 'P 4/m m m'
_symmetry_Int_Tables_number 123
_symmetry_space_group_name_Hall '-P 4 2'
_cell_length_a 4.380
_cell_length_b 4.380
_cell_length_c 3.956
_cell_angle_alpha 90.00
_cell_angle_beta 90.00
_cell_angle_gamma 90.00
loop_
_atom_site_label
_atom_site_fract_x
_atom_site_fract_y
_atom_site_fract_z
_atom_site_occupancy
Nb1 0.000 0.000 0.000 1
In1 0.000 0.500 0.500 1
Pd1 0.500 0.500 0.000 1
```


First-principles (PBE) data for a relaxed structure of NbIn2Pd9, as listed in Alexandria via LeMat-Bulk.

Results
Fermi-level density of states: 0.53 states/eV/atom
E_form: -0.4742 eV per atom
crystal system: tetragonal
total DFT energy (no corrections): -0.4163 Ry/atom

```
data_NbIn2Pd9
_chemical_formula_sum 'Nb1 In2 Pd9'
_symmetry_space_group_name_H-M 'P 4/m m m'
_symmetry_Int_Tables_number 123
_symmetry_space_group_name_Hall '-P 4 2'
_cell_length_a 4.010
_cell_length_b 4.010
_cell_length_c 12.083
_cell_angle_alpha 90.00
_cell_angle_beta 90.00
_cell_angle_gamma 90.00
loop_
_atom_site_label
_atom_site_fract_x
_atom_site_fract_y
_atom_site_fract_z
_atom_site_occupancy
Nb1 0.000 0.000 0.000 1
In1 0.000 0.000 0.334 1
Pd1 0.000 0.500 0.158 1
Pd2 0.000 0.500 0.500 1
Pd3 0.500 0.500 0.000 1
Pd4 0.500 0.500 0.329 1
```


First-principles (PBE) data for a relaxed structure of NbIn2Pd2, as listed in Alexandria via LeMat-Bulk.

Results
Fermi-level density of states: 0.75 states/eV/atom
relative energy among the computed polymorphs: 0.2939 eV per atom
E_form: 0.1146 eV per atom
crystal system: tetragonal
total DFT energy (no corrections): -0.3728 Ry/atom

```
data_NbIn2Pd2
_chemical_formula_sum 'Nb2 In4 Pd4'
_symmetry_space_group_name_H-M 'I 4/m m m'
_symmetry_Int_Tables_number 139
_symmetry_space_group_name_Hall '-I 4 2'
_cell_length_a 3.921
_cell_length_b 3.921
_cell_length_c 12.799
_cell_angle_alpha 90.00
_cell_angle_beta 90.00
_cell_angle_gamma 90.00
loop_
_atom_site_label
_atom_site_fract_x
_atom_site_fract_y
_atom_site_fract_z
_atom_site_occupancy
Nb1 0.000 0.000 0.000 1
In1 0.000 0.000 0.393 1
Pd1 0.000 0.500 0.250 1
```


First-principles (PBE) data for a relaxed structure of NbInPd4, as listed in Alexandria via LeMat-Bulk.

Results
Fermi-level density of states: 0.63 states/eV/atom
relative energy among the computed polymorphs: 0.1758 eV per atom
E_form: -0.2306 eV per atom
crystal system: orthorhombic
total DFT energy (no corrections): -0.4283 Ry/atom

```
data_NbInPd4
_chemical_formula_sum 'Nb8 In8 Pd32'
_symmetry_space_group_name_H-M 'F d d d'
_symmetry_Int_Tables_number 70
_cell_length_a 5.845
_cell_length_b 9.443
_cell_length_c 15.061
_cell_angle_alpha 90.00
_cell_angle_beta 90.00
_cell_angle_gamma 90.00
loop_
_symmetry_equiv_pos_as_xyz
'x,y,z'
'-x,-y,-z'
'-x+1/4,-y+1/4,z'
'x+1/4,y+1/4,-z'
'x,-y+1/4,-z+1/4'
'-x,y+1/4,z+1/4'
'-x+1/4,y,-z+1/4'
'x+1/4,-y,z+1/4'
'x,y+1/2,z+1/2'
'-x,-y+1/2,-z+1/2'
'-x+1/4,-y+3/4,z+1/2'
'x+1/4,y+3/4,-z+1/2'
'x,-y+3/4,-z+3/4'
'-x,y+3/4,z+3/4'
'-x+1/4,y+1/2,-z+3/4'
'x+1/4,-y+1/2,z+3/4'
'x+1/2,y,z+1/2'
'-x+1/2,-y,-z+1/2'
'-x+3/4,-y+1/4,z+1/2'
'x+3/4,y+1/4,-z+1/2'
'x+1/2,-y+1/4,-z+3/4'
'-x+1/2,y+1/4,z+3/4'
'-x+3/4,y,-z+3/4'
'x+3/4,-y,z+3/4'
'x+1/2,y+1/2,z'
'-x+1/2,-y+1/2,-z'
'-x+3/4,-y+3/4,z'
'x+3/4,y+3/4,-z'
'x+1/2,-y+3/4,-z+1/4'
'-x+1/2,y+3/4,z+1/4'
'-x+3/4,y+1/2,-z+1/4'
'x+3/4,-y+1/2,z+1/4'
loop_
_atom_site_label
_atom_site_fract_x
_atom_site_fract_y
_atom_site_fract_z
_atom_site_occupancy
Nb1 0.125 0.125 0.125 1
In1 0.125 0.125 0.625 1
Pd1 0.123 0.369 0.219 1
```


First-principles (PBE) data for a relaxed structure of NbIn3Pd, as listed in Alexandria via LeMat-Bulk.

Results
Fermi-level density of states: 0.85 states/eV/atom
relative energy among the computed polymorphs: 0.2568 eV per atom
E_form: 0.8712 eV per atom
crystal system: cubic
total DFT energy (no corrections): -0.2811 Ry/atom

```
data_NbIn3Pd
_chemical_formula_sum 'Nb1 In3 Pd1'
_symmetry_space_group_name_H-M 'P m -3 m'
_symmetry_Int_Tables_number 221
_symmetry_space_group_name_Hall '-P 4 2 3'
_cell_length_a 5.343
_cell_length_b 5.343
_cell_length_c 5.343
_cell_angle_alpha 90.00
_cell_angle_beta 90.00
_cell_angle_gamma 90.00
loop_
_atom_site_label
_atom_site_fract_x
_atom_site_fract_y
_atom_site_fract_z
_atom_site_occupancy
Nb1 0.000 0.000 0.000 1
In1 0.000 0.000 0.500 1
Pd1 0.500 0.500 0.500 1
```


First-principles (PBE) data for a relaxed structure of Nb2InPd9, as listed in Alexandria via LeMat-Bulk.

Results
Fermi-level density of states: 0.65 states/eV/atom
E_form: -0.4171 eV per atom
crystal system: tetragonal
total DFT energy (no corrections): -0.4570 Ry/atom

```
data_Nb2InPd9
_chemical_formula_sum 'Nb2 In1 Pd9'
_symmetry_space_group_name_H-M 'P 4/m m m'
_symmetry_Int_Tables_number 123
_symmetry_space_group_name_Hall '-P 4 2'
_cell_length_a 3.986
_cell_length_b 3.986
_cell_length_c 12.060
_cell_angle_alpha 90.00
_cell_angle_beta 90.00
_cell_angle_gamma 90.00
loop_
_atom_site_label
_atom_site_fract_x
_atom_site_fract_y
_atom_site_fract_z
_atom_site_occupancy
Nb1 0.000 0.000 0.169 1
In1 0.000 0.000 0.500 1
Pd1 0.000 0.500 0.000 1
Pd2 0.000 0.500 0.324 1
Pd3 0.500 0.500 0.162 1
Pd4 0.500 0.500 0.500 1
```


First-principles (PBE) data for a relaxed structure of Nb3InPd, as listed in Alexandria via LeMat-Bulk.

Results
Fermi-level density of states: 1.79 states/eV/atom
relative energy among the computed polymorphs: 0.9064 eV per atom
E_form: 1.9441 eV per atom
crystal system: cubic
total DFT energy (no corrections): -0.4178 Ry/atom

```
data_Nb3InPd
_chemical_formula_sum 'Nb3 In1 Pd1'
_symmetry_space_group_name_H-M 'P m -3 m'
_symmetry_Int_Tables_number 221
_symmetry_space_group_name_Hall '-P 4 2 3'
_cell_length_a 4.991
_cell_length_b 4.991
_cell_length_c 4.991
_cell_angle_alpha 90.00
_cell_angle_beta 90.00
_cell_angle_gamma 90.00
loop_
_atom_site_label
_atom_site_fract_x
_atom_site_fract_y
_atom_site_fract_z
_atom_site_occupancy
Nb1 0.000 0.000 0.500 1
In1 0.000 0.000 0.000 1
Pd1 0.500 0.500 0.500 1
```


- Which of these has the highest total DFT energy (no corrections)?
  NbIn3Pd


- The highest total DFT energy (no corrections) belongs to which entry?
  NbIn3Pd


- E_form of number 4 (NbIn2Pd2)?
  0.1146 eV per atom


- Which value of Fermi-level density of states does entry 2 give?
  0.92 states/eV/atom